Model A:
This record from OQMD describes NbCoOsPb after structural relaxation. The functional is GGA-PBE.

space-group type = F-43m (216)
calculated volume = 16.6 A^3/atom

Lattice parameters (Å, degrees): 4.5494 4.5494 4.5494 60.00 60.00 60.00
With the nearest neighbours (Å) after each atom.
Fractional positions:
Os 0.2500 0.2500 0.2500  4 Nb 2.79, 4 Pb 2.79
Pb 0.0000 0.0000 0.0000  4 Co 2.79, 4 Os 2.79
Nb 0.5000 0.5000 0.5000  4 Co 2.79, 4 Os 2.79
Co 0.7500 0.7500 0.7500  4 Nb 2.79, 4 Pb 2.79



Model B:
This record from OQMD describes NbCoOsPb after structural relaxation. The functional is GGA-PBE.

space-group type = F-43m (216)
calculated volume = 16.8 A^3/atom

Lattice parameters (Å, degrees): 4.5656 4.5656 4.5656 60.00 60.00 60.00
With the nearest neighbours (Å) after each atom.
Fractional positions:
Os 0.5000 0.5000 0.5000  4 Nb 2.80, 4 Co 2.80
Co 0.7500 0.7500 0.7500  4 Os 2.80, 4 Pb 2.80
Nb 0.2500 0.2500 0.2500  4 Os 2.80, 4 Pb 2.80
Pb 0.0000 0.0000 0.0000  4 Nb 2.80, 4 Co 2.80



Result of the stability comparison: model A is the most stable of them.



Model A:
This record from OQMD describes PaNbCo after structural relaxation. The functional is GGA-PBE.

space-group type = F-43m (216)
calculated volume = 19.8 A^3/atom

Lattice parameters (Å, degrees): 4.3809 4.3809 4.3809 60.00 60.00 60.00
With the nearest neighbours (Å) after each atom.
Fractional positions:
Nb 0.7500 0.7500 0.7500  4 Pa 2.68
Co 0.2500 0.2500 0.2500  4 Pa 2.68
Pa 0.0000 0.0000 0.0000  4 Nb 2.68, 4 Co 2.68



Model B:
This record from OQMD describes PaNbCo after structural relaxation. The functional is GGA-PBE.

space-group type = F-43m (216)
calculated volume = 19.9 A^3/atom

Lattice parameters (Å, degrees): 4.3835 4.3835 4.3835 60.00 60.00 60.00
With the nearest neighbours (Å) after each atom.
Fractional positions:
Pa 0.7500 0.7500 0.7500  4 Co 2.68
Nb 0.2500 0.2500 0.2500  4 Co 2.68
Co 0.0000 0.0000 0.0000  4 Pa 2.68, 4 Nb 2.68



Result of the stability comparison: model B is the most stable of them.